DFT (GGA+U) results for a relaxed V2NF crystal.

Unit cell a=4.8736 b=4.8736 c=9.6418 alpha=90.00 beta=90.00 gamma=90.00
With the nearest neighbours (Å) after each atom.
Space group I-42d (No. 122)
Symmetry-distinct sites (fractional):
V1 0.2049 0.2500 0.1250  2 N 1.98
N1 0.0000 0.0000 0.0000  4 V 1.98
F1 0.0000 0.0000 0.5000  4 V 2.24

excess energy over the best structure of this formula in the dataset	0.0	meV/atom